Compound: Cr5Pb3O12
Source: the Alexandria database
Functional: PBE+U
Structure: relaxed Values from VASP.

Values from the calculation:
E_tot: -551.92 eV/cell

Structure (Quantum ESPRESSO input):
```
&SYSTEM
  ibrav = 0, nat = 80, ntyp = 3
/
ATOMIC_SPECIES
Pb 207.20 Pb.upf
Cr 52.00 Cr.upf
O 16.00 O.upf
CELL_PARAMETERS angstrom
-3.8996 1.7671 -10.3385
4.5932 -10.1882 0.5632
-8.4217 0.7054 7.3343
ATOMIC_POSITIONS crystal
Pb 0.7500 0.3750 0.1250
Pb 0.8750 0.7500 0.1250
Pb 0.3750 0.7500 0.6250
Pb 0.2500 0.1250 0.3750
Pb 0.8750 0.1250 0.2500
Pb 0.3750 0.6250 0.2500
Pb 0.6250 0.3750 0.7500
Pb 0.1250 0.8750 0.7500
Pb 0.7500 0.8750 0.6250
Pb 0.6250 0.2500 0.3750
Pb 0.1250 0.2500 0.8750
Pb 0.2500 0.6250 0.8750
Cr 0.1250 0.3750 0.2500
Cr 0.0000 0.5000 0.0000
Cr 0.0000 0.0000 0.0000
Cr 0.3750 0.2500 0.1250
Cr 0.5000 0.0000 0.5000
Cr 0.5000 0.5000 0.0000
Cr 0.1250 0.7500 0.3750
Cr 0.7500 0.1250 0.8750
Cr 0.7500 0.6250 0.3750
Cr 0.3750 0.1250 0.7500
Cr 0.6250 0.8750 0.2500
Cr 0.5000 0.5000 0.5000
Cr 0.5000 0.0000 0.0000
Cr 0.0000 0.0000 0.5000
Cr 0.2500 0.3750 0.6250
Cr 0.2500 0.8750 0.1250
Cr 0.0000 0.5000 0.5000
Cr 0.8750 0.2500 0.6250
Cr 0.6250 0.7500 0.8750
Cr 0.8750 0.6250 0.7500
O 0.6915 0.1125 0.0066
O 0.3150 0.5066 0.3941
O 0.9934 0.3875 0.3085
O 0.5066 0.1915 0.1125
O 0.5790 0.6915 0.6850
O 0.9934 0.6059 0.1850
O 0.3150 0.8085 0.4210
O 0.1059 0.9210 0.1125
O 0.6059 0.9934 0.6850
O 0.6915 0.5790 0.1850
O 0.8085 0.4934 0.3875
O 0.8150 0.8941 0.0066
O 0.1125 0.6915 0.5066
O 0.3875 0.3941 0.0790
O 0.0790 0.8941 0.3875
O 0.4210 0.1125 0.6059
O 0.0790 0.1850 0.1915
O 0.4934 0.6850 0.1059
O 0.8150 0.9210 0.3085
O 0.1125 0.4210 0.1059
O 0.3875 0.9934 0.8085
O 0.6059 0.6125 0.4210
O 0.8941 0.8150 0.5066
O 0.8085 0.3150 0.9210
O 0.3941 0.3875 0.5790
O 0.1059 0.1850 0.4934
O 0.1915 0.6850 0.0790
O 0.1850 0.0790 0.6915
O 0.6125 0.0066 0.1915
O 0.8875 0.5790 0.8941
O 0.5066 0.3150 0.8941
O 0.5790 0.8875 0.3941
O 0.9210 0.8150 0.8085
O 0.9210 0.1059 0.6125
O 0.8875 0.3085 0.4934
O 0.1850 0.1059 0.9934
O 0.6125 0.6059 0.9210
O 0.3941 0.0066 0.3150
O 0.3085 0.4210 0.8150
O 0.1915 0.5066 0.6125
O 0.8941 0.0790 0.8875
O 0.6850 0.1915 0.5790
O 0.4934 0.8085 0.8875
O 0.0066 0.3941 0.8150
O 0.4210 0.3085 0.3150
O 0.0066 0.6125 0.6915
O 0.6850 0.4934 0.6059
O 0.3085 0.8875 0.9934
```